[1]
# NaHfNiS3, relaxed, DFT PBE
data_NaHfNiS3
_chemical_formula_sum 'Na2 Hf2 Ni2 S6'
_cell_length_a 7.8695
_cell_length_b 3.6514
_cell_length_c 8.6914
_cell_angle_alpha 90.00
_cell_angle_beta 107.83
_cell_angle_gamma 90.00
_space_group_name_H-M_alt 'P 1 21/m 1'
_space_group_IT_number 11
loop_
_space_group_symop_operation_xyz
'x,y,z'
'-x,-y,-z'
'-x,y+1/2,-z'
'x,-y+1/2,z'
loop_
_atom_site_label
_atom_site_type_symbol
_atom_site_fract_x
_atom_site_fract_y
_atom_site_fract_z
Na1 Na 0.2096 0.2500 0.2429
Hf1 Hf 0.3123 0.7500 0.8311
Ni1 Ni 0.0907 0.2500 0.5893
S1 S 0.1023 0.2500 0.8589
S2 S 0.2202 0.7500 0.5267
S3 S 0.4483 0.7500 0.1516
# - raw formation energy (meV per atom) = -1205



[2]
# CdPbN, relaxed, DFT PBE
data_CdPbN
_chemical_formula_sum 'Cd4 Pb4 N4'
_cell_length_a 12.4412
_cell_length_b 3.0967
_cell_length_c 6.6765
_cell_angle_alpha 90.00
_cell_angle_beta 90.05
_cell_angle_gamma 90.00
_space_group_name_H-M_alt 'C 1 2/m 1'
_space_group_IT_number 12
loop_
_space_group_symop_operation_xyz
'x,y,z'
'-x,-y,-z'
'-x,y,-z'
'x,-y,z'
'x+1/2,y+1/2,z'
'-x+1/2,-y+1/2,-z'
'-x+1/2,y+1/2,-z'
'x+1/2,-y+1/2,z'
loop_
_atom_site_label
_atom_site_type_symbol
_atom_site_fract_x
_atom_site_fract_y
_atom_site_fract_z
Cd1 Cd 0.0823 0.0000 0.3416
Pb1 Pb 0.1468 0.0000 0.8570
N1 N 0.2391 0.5000 0.4359
# - raw formation energy (meV per atom) = 857



[3]
# Ca2In5Au3, relaxed, DFT PBE
data_Ca2In5Au3
_chemical_formula_sum 'Ca8 In20 Au12'
_cell_length_a 4.5904
_cell_length_b 27.4644
_cell_length_c 7.6075
_cell_angle_alpha 90.00
_cell_angle_beta 90.00
_cell_angle_gamma 90.00
_space_group_name_H-M_alt 'C m c 21'
_space_group_IT_number 36
loop_
_space_group_symop_operation_xyz
'x,y,z'
'-x,-y,z+1/2'
'-x,y,z'
'x,-y,z+1/2'
'x+1/2,y+1/2,z'
'-x+1/2,-y+1/2,z+1/2'
'-x+1/2,y+1/2,z'
'x+1/2,-y+1/2,z+1/2'
loop_
_atom_site_label
_atom_site_type_symbol
_atom_site_fract_x
_atom_site_fract_y
_atom_site_fract_z
Ca1 Ca 0.0000 0.0206 0.0000
Ca2 Ca 0.0000 0.3227 0.9244
In1 In 0.0000 0.0992 0.6335
In2 In 0.0000 0.2054 0.7196
In3 In 0.0000 0.2074 0.1310
In4 In 0.0000 0.3777 0.4754
In5 In 0.0000 0.4456 0.8307
Au1 Au 0.0000 0.1105 0.2436
Au2 Au 0.0000 0.2727 0.4248
Au3 Au 0.0000 0.4571 0.2132
# - ΔH_f (0 K) (eV/f.u.) = -4.9



[4]
# CaZn3Cu8, relaxed, DFT PBE
data_CaZn3Cu8
_chemical_formula_sum 'Ca1 Zn3 Cu8'
_cell_length_a 4.9676
_cell_length_b 4.9676
_cell_length_c 8.0661
_cell_angle_alpha 90.00
_cell_angle_beta 90.00
_cell_angle_gamma 120.00
_space_group_name_H-M_alt 'P 3 m 1'
_space_group_IT_number 156
loop_
_space_group_symop_operation_xyz
'x,y,z'
'-y,x-y,z'
'-x+y,-x,z'
'-y,-x,z'
'-x+y,y,z'
'x,x-y,z'
loop_
_atom_site_label
_atom_site_type_symbol
_atom_site_fract_x
_atom_site_fract_y
_atom_site_fract_z
Ca1 Ca 0.0000 0.0000 0.0000
Zn1 Zn 0.0000 0.0000 0.3984
Zn2 Zn 0.6667 0.3333 0.4887
Zn3 Zn 0.6667 0.3333 0.8245
Cu1 Cu 0.1651 0.3302 0.6786
Cu2 Cu 0.3333 0.6667 0.4357
Cu3 Cu 0.3333 0.6667 0.9369
Cu4 Cu 0.5033 0.0066 0.1984
# - ΔH_f (0 K) (eV/f.u.) = -0.4



[5]
# CuAsP2S, relaxed, DFT PBE
data_CuAsP2S
_chemical_formula_sum 'Cu1 As1 P2 S1'
_cell_length_a 4.4510
_cell_length_b 4.4510
_cell_length_c 4.5997
_cell_angle_alpha 90.00
_cell_angle_beta 90.00
_cell_angle_gamma 90.00
_space_group_name_H-M_alt 'P 4/m m m'
_space_group_IT_number 123
_space_group_name_Hall '-P 4 2'
loop_
_atom_site_label
_atom_site_type_symbol
_atom_site_fract_x
_atom_site_fract_y
_atom_site_fract_z
Cu1 Cu 0.0000 0.0000 0.0000
As1 As 0.5000 0.5000 0.5000
P1 P 0.0000 0.5000 0.0000
S1 S 0.0000 0.0000 0.5000
# - raw formation energy (meV per atom) = 867



[6]
# ErCuAgF6, relaxed, DFT PBE
data_ErCuAgF6
_chemical_formula_sum 'Er2 Cu2 Ag2 F12'
_cell_length_a 5.6614
_cell_length_b 5.6614
_cell_length_c 9.9816
_cell_angle_alpha 90.00
_cell_angle_beta 90.00
_cell_angle_gamma 120.00
_space_group_name_H-M_alt 'P -3 1 c'
_space_group_IT_number 163
_space_group_name_Hall '-P 3 2c'
loop_
_atom_site_label
_atom_site_type_symbol
_atom_site_fract_x
_atom_site_fract_y
_atom_site_fract_z
Er1 Er 0.3333 0.6667 0.2500
Cu1 Cu 0.3333 0.6667 0.7500
Ag1 Ag 0.0000 0.0000 0.0000
F1 F 0.0134 0.3678 0.6388
# - raw formation energy (meV per atom) = -2498